[1]
8
Lattice="-1.4070 -4.1729 3.0404 4.9318 -0.1536 2.0714 -4.0239 7.1068 3.1826" Properties=species:S:1:pos:R:3 comment="Ca4Hg3Bi (GGA-PBE, relaxed)" formation_enthalpy_0k_ev_per_atom=-0.641 magmom_total_mub_per_fu=0.00 sg=I4/mmm rho_g_cm3=7.12 pbc="T T T"
Ca -0.5889 1.2884 1.4959
Ca -1.6735 3.6551 4.2423
Ca 1.1744 -0.8749 4.0521
Ca 0.0898 1.4918 6.7985
Hg 2.4659 -0.0768 1.0357
Hg -1.8613 0.4425 4.4554
Hg 1.3622 2.3378 3.8390
Bi -0.7035 -2.0865 1.5202



[2]
24
Lattice="6.7990 0.0000 0.0000 0.0000 6.2773 -0.1247 0.0000 1.2522 9.8040" Properties=species:S:1:pos:R:3 comment="K2AsPCO7 (GGA-PBE, relaxed)" magmom_total_mub_per_fu=0.00 raw_formation_energy_ev_per_atom=-1.7988 sg=P2_1/m rho_g_cm3=2.44 pbc="T T T"
O 5.0993 1.6848 5.5589
O 1.6998 2.8448 1.6115
O 2.9501 6.4240 6.2754
O 5.0993 4.6846 8.0677
O 6.3496 1.1055 3.4038
O 5.0993 3.3607 3.6737
O 5.0993 6.9076 7.7885
O 1.6998 4.1688 6.0055
O 1.6998 2.7101 9.6052
O 0.4494 6.4240 6.2754
O 5.0993 4.8194 0.0741
O 1.6998 5.8447 4.1204
O 1.6998 0.6219 1.8908
O 3.8489 1.1055 3.4038
K 3.4559 4.7807 2.1581
K 0.0564 2.7487 7.5211
K 6.7427 4.7807 2.1581
K 3.3432 2.7487 7.5211
C 5.0993 5.8205 8.6569
C 1.6998 1.7090 1.0223
As 5.0993 6.1940 6.0647
As 1.6998 1.3355 3.6145
P 5.0993 1.8757 3.9303
P 1.6998 5.6537 5.7489



[3]
18
Lattice="-0.6683 -3.6061 5.1112 0.3269 -5.0665 -3.7146 5.2359 -0.5410 0.6799" Properties=species:S:1:pos:R:3 comment="Al2Zn3N4 (GGA-PBE, relaxed)" magmom_total_mub_per_fu=0.00 raw_formation_energy_ev_per_atom=-0.3969 sg=C2/c rho_g_cm3=4.86 pbc="T T T"
N 2.1901 -5.0963 3.6864
N 2.5498 -2.8197 1.4715
N 4.8070 -6.4361 2.3244
N 4.7594 -3.5616 3.7221
N 2.3446 -6.3939 0.6051
N 0.1351 -5.6519 -1.6456
N 2.7043 -4.1172 -1.6099
N 0.0874 -2.7775 -0.2479
Al 0.4873 -6.4775 0.1022
Al 2.8830 -6.4220 2.4124
Al 2.0114 -2.7916 -0.3359
Al 4.4072 -2.7360 1.9744
Zn 4.2184 -5.3197 4.4491
Zn 3.9004 -4.9536 -0.0701
Zn 0.6761 -3.8938 -2.3726
Zn 2.2711 -6.0335 -1.8386
Zn 0.9941 -4.2600 2.1467
Zn 2.6233 -3.1801 3.9152



[4]
4
Lattice="3.9278 0.0000 0.0000 0.0000 3.9278 0.0000 0.0000 0.0000 5.7844" Properties=species:S:1:pos:R:3 comment="CdHg2Au (GGA-PBE, relaxed)" formation_enthalpy_0k_ev_per_atom=0.049 magmom_total_mub_per_fu=0.00 sg=P4/mmm rho_g_cm3=13.22 pbc="T T T"
Cd 1.9639 1.9639 4.3383
Au 1.9639 1.9639 1.4461
Hg 0.0000 0.0000 0.0242
Hg 0.0000 0.0000 2.8680



[5]
4
Lattice="-1.9575 1.0825 1.5446 -0.6367 -2.1186 -1.5796 1.9575 -5.1064 6.0597" Properties=species:S:1:pos:R:3 comment="BePOs2 (GGA-PBE, relaxed)" formation_enthalpy_0k_ev_per_atom=0.487 magmom_total_mub_per_fu=0.00 sg=Cmm2 rho_g_cm3=13.13 pbc="T T T"
Os -0.7719 -1.8881 1.6083
Os 1.9096 -4.9814 5.9114
P 0.9898 -2.5821 3.0642
Be 0.1721 -4.3505 4.5304



[6]
5
Lattice="-0.9141 -3.9443 1.6731 4.4695 -2.7707 -4.0896 3.1173 0.5614 3.0265" Properties=species:S:1:pos:R:3 comment="TlHg2CCl (GGA-PBE, relaxed)" magmom_total_mub_per_fu=0.00 raw_formation_energy_ev_per_atom=0.4855 sg=P4/mmm rho_g_cm3=8.48 pbc="T T T"
C 0.0000 0.0000 0.0000
Hg 1.5586 0.2807 1.5133
Hg -0.4571 -1.9721 0.8366
Cl 3.3363 -3.0768 0.3050
Tl 2.2348 -1.3853 -2.0448



[7]
4
Lattice="-4.9238 0.7697 1.5292 -2.1245 -4.3201 1.9993 4.4663 2.5381 0.8855" Properties=species:S:1:pos:R:3 comment="Mg2AlCr (GGA-PBE, relaxed)" formation_enthalpy_0k_ev_per_atom=0.190 magmom_total_mub_per_fu=3.53 sg=I4/mmm rho_g_cm3=2.89 pbc="T T T"
Al -0.5912 -1.7786 2.3245
Mg -3.5241 -1.7752 1.7642
Mg 0.0000 0.0000 0.0000
Cr -1.9908 0.7663 2.0894



[8]
9
Lattice="-4.2845 4.9389 -0.3020 -6.5381 -1.3960 -1.0011 -3.3403 1.9526 8.3937" Properties=species:S:1:pos:R:3 comment="Rb2Na4Cd3 (GGA-PBE, relaxed)" formation_enthalpy_0k_ev_per_atom=-0.027 magmom_total_mub_per_fu=0.00 sg=Fmmm rho_g_cm3=2.98 pbc="T T T"
Na -5.4408 -0.2576 2.0484
Na -8.0065 2.0291 4.9173
Na -8.7221 5.7531 5.0423
Na -6.1564 3.4663 2.1733
Cd 0.0000 0.0000 0.0000
Cd -3.2691 -0.6980 -0.5006
Cd -5.4113 1.7714 -0.6515
Rb -2.4302 2.3452 1.9029
Rb -5.1946 4.5463 6.1888



[9]
4
Lattice="-2.6702 2.3199 -2.8323 -4.5057 -0.3111 0.3681 -2.3976 3.5293 1.5262" Properties=species:S:1:pos:R:3 comment="HfTcMo2 (GGA-PBE, relaxed)" formation_enthalpy_0k_ev_per_atom=-0.069 magmom_total_mub_per_fu=0.00 sg=Fm-3m rho_g_cm3=11.82 pbc="T T T"
Mo -7.1802 4.1536 -0.7035
Mo -2.3934 1.3845 -0.2345
Hf 0.0000 0.0000 0.0000
Tc -4.7868 2.7690 -0.4690



[10]
11
Lattice="3.6077 0.0000 0.0000 0.0000 8.8727 0.0000 -1.8038 -4.4363 7.6289" Properties=species:S:1:pos:R:3 comment="Hf3Ti4Bi4 (GGA-PBE, relaxed)" formation_enthalpy_0k_ev_per_atom=-0.021 magmom_total_mub_per_fu=0.00 sg=Immm rho_g_cm3=10.63 pbc="T T T"
Bi 1.8038 7.0722 0.0000
Bi 1.8038 0.0000 4.5503
Bi 1.8038 1.8004 0.0000
Bi 0.0000 4.4363 3.0786
Ti 0.0000 -2.1501 4.8914
Ti 0.0000 2.1501 4.8914
Ti 1.8038 6.5864 2.7375
Ti 1.8038 2.2863 2.7375
Hf 1.8038 4.4363 5.6619
Hf 0.0000 4.4363 0.0000
Hf 0.0000 0.0000 1.9670



[11]
4
Lattice="-5.3234 6.5898 -3.0335 -6.8977 4.0306 -4.1402 -7.3753 5.0281 -1.1353" Properties=species:S:1:pos:R:3 comment="Zr2AlOs (GGA-PBE, relaxed)" formation_enthalpy_0k_ev_per_atom=-0.109 magmom_total_mub_per_fu=0.00 sg=R-3m rho_g_cm3=8.49 pbc="T T T"
Zr -0.1253 0.1001 -0.0531
Zr -9.6729 7.7242 -4.1014
Al -4.8991 3.9121 -2.0773
Os -14.6973 11.7364 -6.2318



[12]
10
Lattice="-6.5821 -2.1496 2.1001 2.9991 -5.0210 4.2603 0.1000 2.4766 2.8484" Properties=species:S:1:pos:R:3 comment="YAu2F2 (GGA-PBE, relaxed)" magmom_total_mub_per_fu=0.37 raw_formation_energy_ev_per_atom=-0.8042 sg=P4/mbm rho_g_cm3=8.75 pbc="T T T"
Y -1.7915 -3.5853 3.1802
Y 0.0000 0.0000 0.0000
Au 0.3091 -2.1537 1.8617
Au 0.1532 -5.2048 4.5201
Au -3.7362 -1.9657 1.8403
Au -3.8921 -5.0168 4.4987
F -2.2527 -4.2549 6.2812
F 0.7976 -2.7771 4.8892
F -1.2303 -0.4391 2.9276
F -4.2806 -1.9169 4.3196



> Number 9 is which compound?

HfTcMo2



> Number 2 is which compound?

K2AsPCO7